Record 1
A plane-wave DFT calculation with PBE was carried out for SrScHg2 after structural relaxation.

Results
* formation energy from the elements: -0.161 eV per atom

Cell and atoms, written as CIF:
```
data_SrScHg2
_chemical_formula_sum 'Sr1 Sc1 Hg2'
_cell_length_a 6.2414
_cell_length_b 6.2414
_cell_length_c 6.2414
_cell_angle_alpha 137.62
_cell_angle_beta 137.62
_cell_angle_gamma 61.49
_symmetry_space_group_name_H-M 'P 1'
_symmetry_Int_Tables_number 1
loop_
_symmetry_equiv_pos_as_xyz
'x,y,z'
loop_
_atom_site_label
_atom_site_fract_x
_atom_site_fract_y
_atom_site_fract_z
_atom_site_occupancy
Hg1 0.0000 0.0000 0.0000 1
Hg2 0.2500 0.7500 0.5000 1
Sc1 0.5000 0.5000 0.0000 1
Sr1 0.7500 0.2500 0.5000 1
```

Record 2
A plane-wave DFT calculation with PBE was carried out for MgZr2Be2Ir5 after structural relaxation.

Results
* formation energy from the elements: -0.758 eV per atom

Cell and atoms, written as CIF:
```
data_MgZr2Be2Ir5
_chemical_formula_sum 'Mg2 Zr4 Be4 Ir10'
_cell_length_a 3.2253
_cell_length_b 9.5013
_cell_length_c 9.5013
_cell_angle_alpha 90.00
_cell_angle_beta 90.00
_cell_angle_gamma 90.00
_symmetry_space_group_name_H-M 'P 1'
_symmetry_Int_Tables_number 1
loop_
_symmetry_equiv_pos_as_xyz
'x,y,z'
loop_
_atom_site_label
_atom_site_fract_x
_atom_site_fract_y
_atom_site_fract_z
_atom_site_occupancy
Mg1 0.0000 0.0000 0.0000 1
Mg2 0.0000 0.5000 0.5000 1
Zr1 0.0000 0.6769 0.1769 1
Zr2 0.0000 0.3231 0.8231 1
Zr3 0.0000 0.1769 0.3231 1
Zr4 0.0000 0.8231 0.6769 1
Be1 0.0000 0.1215 0.6215 1
Be2 0.0000 0.8785 0.3785 1
Be3 0.0000 0.6215 0.8785 1
Be4 0.0000 0.3785 0.1215 1
Ir1 0.5000 0.2145 0.0691 1
Ir2 0.5000 0.7855 0.9309 1
Ir3 0.5000 0.0691 0.7855 1
Ir4 0.5000 0.7145 0.4309 1
Ir5 0.5000 0.9309 0.2145 1
Ir6 0.5000 0.2855 0.5691 1
Ir7 0.5000 0.5691 0.7145 1
Ir8 0.5000 0.4309 0.2855 1
Ir9 0.5000 0.5000 0.0000 1
Ir10 0.5000 0.0000 0.5000 1
```

Record 3
A plane-wave DFT calculation with PBE was carried out for K2MgGa3Sn4 after structural relaxation.

Results
* formation energy from the elements: -0.167 eV per atom

Cell and atoms, written as CIF:
```
data_K2MgGa3Sn4
_chemical_formula_sum 'K2 Mg1 Ga3 Sn4'
_cell_length_a 4.9179
_cell_length_b 4.9179
_cell_length_c 11.6449
_cell_angle_alpha 90.00
_cell_angle_beta 90.00
_cell_angle_gamma 90.00
_symmetry_space_group_name_H-M 'P 1'
_symmetry_Int_Tables_number 1
loop_
_symmetry_equiv_pos_as_xyz
'x,y,z'
loop_
_atom_site_label
_atom_site_fract_x
_atom_site_fract_y
_atom_site_fract_z
_atom_site_occupancy
K1 0.5000 0.0000 0.2508 1
K2 0.0000 0.5000 0.7492 1
Mg1 0.5000 0.5000 0.5000 1
Ga1 0.0000 0.0000 0.5000 1
Ga2 0.5000 0.0000 0.8686 1
Ga3 0.0000 0.5000 0.1314 1
Sn1 0.5000 0.5000 0.0000 1
Sn2 0.0000 0.0000 0.0000 1
Sn3 0.5000 0.0000 0.6341 1
Sn4 0.0000 0.5000 0.3659 1
```